A plane-wave DFT calculation with PBE was carried out for a relaxed structure of Cs3CaTa2O8.

VASP energy ... -7.2581 eV/atom

CIF file:
```
data_Cs3CaTa2O8
_cell_length_a 6.4604
_cell_length_b 6.4604
_cell_length_c 8.4490
_cell_angle_alpha 90.00
_cell_angle_beta 90.00
_cell_angle_gamma 120.00
_space_group_name_H-M_alt 'P -3 m 1'
_space_group_IT_number 164
_space_group_name_Hall '-P 3 2"'
loop_
_atom_site_label
_atom_site_type_symbol
_atom_site_fract_x
_atom_site_fract_y
_atom_site_fract_z
Cs1 Cs 0.0000 0.0000 0.0000
Cs2 Cs 0.3333 0.6667 0.6975
Ca1 Ca 0.0000 0.0000 0.5000
Ta1 Ta 0.3333 0.6667 0.2608
O1 O 0.1748 0.3496 0.3339
O2 O 0.3333 0.6667 0.0409
```

A plane-wave DFT calculation with PBE was carried out for a relaxed structure of CsCa2Ta3O10.

VASP energy ... -8.5140 eV/atom

CIF file:
```
data_CsCa2Ta3O10
_cell_length_a 3.950
_cell_length_b 3.950
_cell_length_c 15.521
_cell_angle_alpha 90.00
_cell_angle_beta 90.00
_cell_angle_gamma 90.00
_space_group_name_H-M_alt 'P 4/m m m'
_space_group_IT_number 123
_space_group_name_Hall '-P 4 2'
loop_
_atom_site_label
_atom_site_type_symbol
_atom_site_fract_x
_atom_site_fract_y
_atom_site_fract_z
Cs1 Cs 0.000 0.000 0.000
Ca1 Ca 0.000 0.000 0.352
Ta1 Ta 0.500 0.500 0.225
Ta2 Ta 0.500 0.500 0.500
O1 O 0.000 0.500 0.252
O2 O 0.000 0.500 0.500
O3 O 0.500 0.500 0.109
O4 O 0.500 0.500 0.373
```

> Among the records above, which one has the lowest VASP energy?

CsCa2Ta3O10